No. 1
Lu2TeS | PBE | relaxed

Values from the calculation:
energy: -5.586 eV per atom
DOS(E_F): 3.52 states/eV per cell
ΔE_f (raw): -1508 meV/atom

Unit cell a=3.9984 b=3.9984 c=20.2963 alpha=90.00 beta=90.00 gamma=120.00
Space group R-3m (No. 166, hexagonal axes)
Inequivalent atoms, fractional coordinates:
Lu: 0.0000 0.0000 0.2330 (multiplicity 6)
Te: 0.0000 0.0000 0.0000 (multiplicity 3)
S: 0.0000 0.0000 0.5000 (multiplicity 3)

No. 2
LuTeS | PBE | relaxed

Values from the calculation:
energy: -5.228 eV per atom
DOS(E_F): 1.37 states/eV per cell
relative energy among the computed polymorphs: 0.00 eV per formula unit
ΔE_f (raw): -1298 meV/atom

Unit cell a=3.8206 b=3.8206 c=7.6090 alpha=90.00 beta=90.00 gamma=120.00
Space group P3m1 (No. 156)
Inequivalent atoms, fractional coordinates:
Lu: 0.0000 0.0000 0.0000 (multiplicity 1)
Te: 0.3333 0.6667 0.6965 (multiplicity 1)
S: 0.6667 0.3333 0.1692 (multiplicity 1)

No. 3
Lu2TiS | PBE | relaxed

Values from the calculation:
energy: -5.689 eV per atom
DOS(E_F): 7.82 states/eV per cell
ΔE_f (raw): -423 meV/atom

Unit cell a=3.4396 b=3.4396 c=27.7891 alpha=90.00 beta=90.00 gamma=120.00
Space group R-3m (No. 166, hexagonal axes)
Inequivalent atoms, fractional coordinates:
Lu: 0.0000 0.0000 0.1051 (multiplicity 6)
Ti: 0.0000 0.0000 0.0000 (multiplicity 3)
S: 0.0000 0.0000 0.5000 (multiplicity 3)

No. 4
TmLuS | PBE | relaxed

Values from the calculation:
energy: -5.625 eV per atom
DOS(E_F): 3.35 states/eV per cell
ΔE_f (raw): -1252 meV/atom

Unit cell a=3.6905 b=3.6905 c=6.1592 alpha=90.00 beta=90.00 gamma=120.00
Space group P3m1 (No. 156)
Inequivalent atoms, fractional coordinates:
Tm: 0.0000 0.0000 0.0000 (multiplicity 1)
Lu: 0.3333 0.6667 0.5401 (multiplicity 1)
S: 0.6667 0.3333 0.2724 (multiplicity 1)

No. 5
Tm3LuS | PBE | relaxed

Values from the calculation:
energy: -5.014 eV per atom
DOS(E_F): 8.84 states/eV per cell
ΔE_f (raw): -602 meV/atom

Unit cell a=5.2055 b=5.2055 c=5.2055 alpha=90.00 beta=90.00 gamma=90.00
Space group Pm-3m (No. 221)
Inequivalent atoms, fractional coordinates:
Tm: 0.0000 0.0000 0.5000 (multiplicity 3)
Lu: 0.5000 0.5000 0.5000 (multiplicity 1)
S: 0.0000 0.0000 0.0000 (multiplicity 1)

No. 6
LuUS2 | PBE | relaxed

Values from the calculation:
energy: -7.641 eV per atom
DOS(E_F): 13.02 states/eV per cell
ΔE_f (raw): -1625 meV/atom

Unit cell a=3.7627 b=3.7627 c=19.5584 alpha=90.00 beta=90.00 gamma=120.00
Space group R-3m (No. 166, hexagonal axes)
Inequivalent atoms, fractional coordinates:
Lu: 0.0000 0.0000 0.0000 (multiplicity 3)
U: 0.0000 0.0000 0.5000 (multiplicity 3)
S: 0.0000 0.0000 0.2538 (multiplicity 6)

No. 7
Lu2US | PBE | relaxed

Values from the calculation:
energy: -6.468 eV per atom
DOS(E_F): 22.83 states/eV per cell
ΔE_f (raw): -354 meV/atom

Unit cell a=3.4029 b=3.4029 c=29.9961 alpha=90.00 beta=90.00 gamma=120.00
Space group R-3m (No. 166, hexagonal axes)
Inequivalent atoms, fractional coordinates:
Lu: 0.0000 0.0000 0.1088 (multiplicity 6)
U: 0.0000 0.0000 0.0000 (multiplicity 3)
S: 0.0000 0.0000 0.5000 (multiplicity 3)

No. 8
LuVS2 | PBE | relaxed

Values from the calculation:
energy: -6.260 eV per atom
DOS(E_F): 9.07 states/eV per cell
ΔE_f (raw): -786 meV/atom

Unit cell a=3.4023 b=3.4023 c=24.1968 alpha=90.00 beta=90.00 gamma=120.00
Space group R-3m (No. 166, hexagonal axes)
Inequivalent atoms, fractional coordinates:
Lu: 0.0000 0.0000 0.0000 (multiplicity 3)
V: 0.0000 0.0000 0.5000 (multiplicity 3)
S: 0.0000 0.0000 0.1092 (multiplicity 6)

What is the energy in the second record? -5.228 eV per atom

Number 4 is which compound? TmLuS